Record 1
Computed, not measured: crystalline Ta2CoH2 at its relaxed geometry at the PBE level of DFT.

ρ   13.542 g cm⁻³
DFT total energy   -0.2808 Ha/atom
Space-group type   I4/mmm
Size of the total moment   0.74 μB per formula unit
Offset from the most stable computed form   0.00 eV/f.u.

a b c (Å): 2.9261 2.9261 6.3996
angles (deg): 76.78 76.78 90.00
Sites, in units of the cell vectors:
H  0.7500  0.2500  0.5000
H  0.2500  0.7500  0.5000
Co  0.0000  0.0000  0.0000
Ta  0.3613  0.3613  0.2774
Ta  0.6387  0.6387  0.7226



Record 2
Computed, not measured: crystalline TaCo3H at its relaxed geometry at the PBE level of DFT.

ρ   11.984 g cm⁻³
DFT total energy   -0.2773 Ha/atom
Space-group type   Pm-3m
Size of the total moment   0.86 μB per formula unit
Offset from the most stable computed form   0.00 eV/f.u.

a b c (Å): 3.6769 3.6769 3.6769
angles (deg): 90.00 90.00 90.00
Sites, in units of the cell vectors:
H  0.0000  0.0000  0.0000
Co  0.0000  0.5000  0.0000
Co  0.0000  0.0000  0.5000
Co  0.5000  0.0000  0.0000
Ta  0.5000  0.5000  0.5000



Record 3
Computed, not measured: crystalline TaCoH3 at its relaxed geometry at the PBE level of DFT.

ρ   11.591 g cm⁻³
DFT total energy   -0.2133 Ha/atom
Space-group type   Pm-3m
Size of the total moment   0.00 μB per formula unit

a b c (Å): 3.2648 3.2648 3.2648
angles (deg): 90.00 90.00 90.00
Sites, in units of the cell vectors:
H  0.0000  0.5000  0.0000
H  0.0000  0.0000  0.5000
H  0.5000  0.0000  0.0000
Co  0.0000  0.0000  0.0000
Ta  0.5000  0.5000  0.5000



Record 4
Computed, not measured: crystalline Ta5Co2H12 at its relaxed geometry at the PBE level of DFT.

ρ   11.860 g cm⁻³
DFT total energy   -0.2212 Ha/atom
Space-group type   C2/m
Size of the total moment   0.67 μB per formula unit

a b c (Å): 5.1977 5.2332 6.1968
angles (deg): 96.97 90.00 119.78
Sites, in units of the cell vectors:
Ta  0.3542  0.7085  0.6210
Ta  0.2700  0.5399  0.1770
Ta  0.0000  0.0000  0.5000
Ta  0.7300  0.4601  0.8230
Ta  0.6458  0.2915  0.3790
Co  0.7638  0.0000  0.0000
Co  0.2362  0.0000  0.0000
H  0.9487  0.8973  0.1508
H  0.1406  0.6502  0.9027
H  0.5096  0.6502  0.9027
H  0.0516  0.6558  0.3911
H  0.6042  0.6558  0.3911
H  0.5243  0.0486  0.8454
H  0.4757  0.9514  0.1546
H  0.9484  0.3442  0.6089
H  0.3958  0.3442  0.6089
H  0.8594  0.3498  0.0973
H  0.4904  0.3498  0.0973
H  0.0513  0.1027  0.8492



Record 5
Computed, not measured: crystalline TaCoH2 at its relaxed geometry at the PBE level of DFT.

ρ   11.749 g cm⁻³
DFT total energy   -0.2338 Ha/atom
Space-group type   R-3m
Size of the total moment   0.00 μB per formula unit
Offset from the most stable computed form   0.49 eV/f.u.

a b c (Å): 2.8567 2.8567 5.1109
angles (deg): 73.77 73.77 60.00
Sites, in units of the cell vectors:
H  0.1336  0.1336  0.5993
H  0.8664  0.8664  0.4007
Co  0.5000  0.5000  0.5000
Ta  0.0000  0.0000  0.0000



Record 6
Computed, not measured: crystalline TaCo3H at its relaxed geometry at the PBE level of DFT.

ρ   11.151 g cm⁻³
DFT total energy   -0.2640 Ha/atom
Space-group type   Pnma
Size of the total moment   1.36 μB per formula unit
Offset from the most stable computed form   1.80 eV/f.u.

a b c (Å): 4.7209 6.4948 6.9694
angles (deg): 90.00 90.00 90.00
Sites, in units of the cell vectors:
H  0.6055  0.2500  0.5702
H  0.8945  0.7500  0.0702
H  0.3945  0.7500  0.4298
H  0.1055  0.2500  0.9298
Co  0.0295  0.9189  0.8469
Co  0.4705  0.4189  0.3469
Co  0.4705  0.0811  0.3469
Co  0.9705  0.4189  0.1531
Co  0.9705  0.0811  0.1531
Co  0.5295  0.5811  0.6531
Co  0.5295  0.9189  0.6531
Co  0.0295  0.5811  0.8469
Co  0.2907  0.2500  0.7150
Co  0.2093  0.7500  0.2150
Co  0.7093  0.7500  0.2850
Co  0.7907  0.2500  0.7850
Ta  0.0000  0.0000  0.5000
Ta  0.5000  0.5000  0.0000
Ta  0.5000  0.0000  0.0000
Ta  0.0000  0.5000  0.5000



Record 7
Computed, not measured: crystalline TaCo3H at its relaxed geometry at the PBE level of DFT.

ρ   10.319 g cm⁻³
DFT total energy   -0.2579 Ha/atom
Space-group type   R3m
Size of the total moment   3.03 μB per formula unit
Offset from the most stable computed form   2.64 eV/f.u.

a b c (Å): 4.0070 4.0070 4.0070
angles (deg): 103.70 103.70 103.70
Sites, in units of the cell vectors:
H  0.9873  0.9873  0.9873
Co  0.7159  0.1139  0.7159
Co  0.1139  0.7159  0.7159
Co  0.7159  0.7159  0.1139
Ta  0.3420  0.3420  0.3420



Record 8
Computed, not measured: crystalline TaCo3H at its relaxed geometry at the PBE level of DFT.

ρ   10.870 g cm⁻³
DFT total energy   -0.2624 Ha/atom
Space-group type   Cmcm
Size of the total moment   2.47 μB per formula unit
Offset from the most stable computed form   2.02 eV/f.u.

a b c (Å): 4.9337 4.9337 4.7778
angles (deg): 90.00 90.00 109.52
Sites, in units of the cell vectors:
H  0.1491  0.8509  0.2500
H  0.8509  0.1491  0.7500
Co  0.4941  0.1135  0.2500
Co  0.8865  0.5059  0.2500
Co  0.1135  0.4941  0.7500
Co  0.5059  0.8865  0.7500
Co  0.0000  0.0000  0.0000
Co  0.0000  0.0000  0.5000
Ta  0.4029  0.5971  0.2500
Ta  0.5971  0.4029  0.7500